This record from Alexandria describes a relaxed PmCr2InO8 crystal. The functional is GGA+U.

a b c (Å): 7.230 7.230 6.321
angles (deg): 90.00 90.00 90.00
Space group I-4m2 (No. 119)
Asymmetric unit:
Pm  0.000  0.000  0.000 [2 per cell]
Cr  0.000  0.000  0.500 [2 per cell]
Cr  0.000  0.500  0.750 [2 per cell]
In  0.000  0.500  0.250 [2 per cell]
O  0.000  0.187  0.328 [8 per cell]
O  0.000  0.320  0.926 [8 per cell]

Values from the calculation:
* DFT total energy: -6.954 eV per atom
* volume: 165.23 Å³/f.u.